BPSeN2 | PBE-GGA | relaxed

Cell: 3.225 3.225 7.983 Å, 90.00 90.00 90.00°
Last column: magnetic moment on the atom in μB.
Fractional positions:
P  0.500  0.500  0.500  0.00
B  0.000  0.000  0.000  -0.02
Se  0.000  0.000  0.500  0.00
N  0.000  0.500  0.000  0.11
N  0.500  0.000  0.000  0.11

Output
The density is 2.97 g/cm3. As for the energy above the most stable polymorph in this dataset: 0.117 eV/atom. Its symmetry is No. 123.